(a)
First-principles (GGA-PBE) data for a relaxed CsAcHf crystal, as listed in OQMD via LeMat-Bulk.

The space group is F-43m (No. 216) and the conventional cell measures 8.356, 8.356 and 8.356 Å, with angles of 90.00, 90.00 and 90.00 degrees. The inequivalent atoms are Cs at (0.000, 0.000, 0.000), Ac at (0.000, 0.000, 0.500) and Hf at (0.250, 0.250, 0.750).

Its total moment is 3.995 μB/f.u.


(b)
First-principles (GGA-PBE) data for a relaxed CsAcHf crystal, as listed in OQMD via LeMat-Bulk.

The space group is F-43m (No. 216) and the conventional cell measures 7.824, 7.824 and 7.824 Å, with angles of 90.00, 90.00 and 90.00 degrees. The inequivalent atoms are Cs at (0.000, 0.000, 0.000), Ac at (0.250, 0.250, 0.750) and Hf at (0.250, 0.250, 0.250).

Its total moment is 0.029 μB/f.u.


Stability ranking, top and bottom: (a) is the most stable and (b) is the least stable.